Computed, not measured: crystalline VTcGeO6 at its relaxed geometry at the PBE+U level of DFT.

abc: 4.563 4.563 9.110
angles: 90.00 90.00 90.00
Atoms (fractional coordinates):
V  0.000  0.000  0.000
V  0.500  0.500  0.500
Tc  0.000  0.000  0.335
Tc  0.500  0.500  0.835
Ge  0.000  0.000  0.669
Ge  0.500  0.500  0.169
O  0.189  0.189  0.832
O  0.195  0.195  0.509
O  0.200  0.200  0.167
O  0.300  0.700  0.667
O  0.305  0.695  0.009
O  0.311  0.689  0.332
O  0.689  0.311  0.332
O  0.695  0.305  0.009
O  0.700  0.300  0.667
O  0.800  0.800  0.167
O  0.805  0.805  0.509
O  0.811  0.811  0.832

M_tot (μB per formula unit): 3.975
DFT total energy (eV/atom): -7.4298